Density functional theory data (PBE) for crystalline Tb5Tc2O12 at its relaxed geometry.

Properties
Crystal system = monoclinic
Uncorrected energy = -8.3213 eV per atom
Volume = 13.2 Å³/atom

Structure (CIF):
```
data_Tb5Tc2O12
_cell_length_a 12.4162
_cell_length_b 5.6358
_cell_length_c 7.5184
_cell_angle_alpha 90.00
_cell_angle_beta 107.92
_cell_angle_gamma 90.00
_space_group_name_H-M_alt 'C 1 2/m 1'
_space_group_IT_number 12
loop_
_space_group_symop_operation_xyz
'x,y,z'
'-x,-y,-z'
'-x,y,-z'
'x,-y,z'
'x+1/2,y+1/2,z'
'-x+1/2,-y+1/2,-z'
'-x+1/2,y+1/2,-z'
'x+1/2,-y+1/2,z'
loop_
_atom_site_label
_atom_site_type_symbol
_atom_site_fract_x
_atom_site_fract_y
_atom_site_fract_z
Tb1 Tb 0.0000 0.0000 0.0000
Tb2 Tb 0.1844 0.5000 0.3253
Tb3 Tb 0.1950 0.5000 0.8572
Tc1 Tc 0.0000 0.2142 0.5000
O1 O 0.0004 0.0000 0.2953
O2 O 0.0015 0.5000 0.6777
O3 O 0.1542 0.2520 0.0744
O4 O 0.1644 0.2503 0.5829
```